[1]
# RbMo3I

Crystalline RbMo3I at its relaxed geometry (PBE, Alexandria).

ΔE_f (raw): 11.249 eV/f.u.
Fermi-level density of states: 1.0794 states/eV per atom
Excess energy over the best structure of this formula in the dataset: 0.000 eV per atom
Spin magnetization: 0.00 μB per formula unit

Lattice parameters (Å, degrees): 5.062 5.062 5.062 90.00 90.00 90.00
Positions (direct):
Rb 0.000 0.000 0.000
Mo 0.000 0.500 0.500
Mo 0.500 0.000 0.500
Mo 0.500 0.500 0.000
I 0.500 0.500 0.500

[2]
# Rb3MoI

Crystalline Rb3MoI at its relaxed geometry (PBE, Alexandria).

ΔE_f (raw): 2.535 eV/f.u.
Fermi-level density of states: 0.5096 states/eV per atom
Excess energy over the best structure of this formula in the dataset: 0.000 eV per atom
Spin magnetization: 5.71 μB per formula unit

Lattice parameters (Å, degrees): 6.959 6.959 6.959 90.00 90.00 90.00
Positions (direct):
Rb 0.000 0.000 0.500
Rb 0.000 0.500 0.000
Rb 0.500 0.000 0.000
Mo 0.500 0.500 0.500
I 0.000 0.000 0.000

Electronic total energy for the records above, in order: -23.76, -12.75 eV/cell